i.
## VHF3 (GGA+U)

Data for VHF3 after structural relaxation.

Geometry as POSCAR:
```
VHF3
1.0
-3.517 -1.408 -1.102
0.429 -3.025 2.496
-1.735 2.105 2.850
H F V
1 3 1
direct
0.500 0.500 0.500
0.500 0.000 0.000
0.000 0.500 0.000
0.000 0.000 0.500
0.000 0.000 0.000
```

Values from the calculation:
The value obtained for the size of the total moment is 3.0 μB/cell. For the calculated volume, the calculation gives 12.28 Å³/atom.



ii.
## VHF3 (GGA+U)

Data for VHF3 after structural relaxation.

Geometry as POSCAR:
```
VHF3
1.0
-0.298 -1.052 -3.314
-2.375 -2.368 0.965
-2.540 2.338 -0.514
F H V
3 1 1
direct
0.500 0.000 0.000
0.000 0.500 0.000
0.000 0.000 0.500
0.000 0.000 0.000
0.500 0.500 0.500
```

Values from the calculation:
The value obtained for the size of the total moment is 2.9 μB/cell. For the calculated volume, the calculation gives 8.50 Å³/atom.



i has the most favorable energy; the next structure is 517 meV per atom above.



i.
## VHF2 (GGA+U)

Data for VHF2 after structural relaxation.

Geometry as POSCAR:
```
VHF2
1.0
1.795 0.000 5.823
-0.897 1.554 5.823
-0.897 -1.554 5.823
H F V
1 2 1
direct
0.000 0.000 0.000
0.066 0.066 0.066
0.934 0.934 0.934
0.500 0.500 0.500
```

Values from the calculation:
The value obtained for the size of the total moment is 3.9 μB/cell. For the calculated volume, the calculation gives 12.18 Å³/atom.



ii.
## VHF2 (GGA+U)

Data for VHF2 after structural relaxation.

Geometry as POSCAR:
```
VHF2
1.0
0.000 2.611 2.611
2.611 0.000 2.611
2.611 2.611 0.000
V H F
1 1 2
direct
0.500 0.500 0.500
0.000 0.000 0.000
0.250 0.250 0.250
0.750 0.750 0.750
```

Values from the calculation:
The value obtained for the size of the total moment is 2.0 μB/cell. For the calculated volume, the calculation gives 8.90 Å³/atom.



ii has the most favorable energy; the next structure is 29 meV per atom above.



i.
## VH2F8 (GGA+U)

Data for VH2F8 after structural relaxation.

Geometry as POSCAR:
```
VH2F8
1.0
-0.682 -0.304 4.915
-4.357 -2.590 -1.111
1.669 -4.895 -0.417
H F V
2 8 1
direct
0.563 0.699 0.699
0.437 0.301 0.301
0.291 0.165 0.165
0.834 0.304 0.916
0.403 0.601 0.601
0.834 0.916 0.304
0.597 0.399 0.399
0.166 0.696 0.084
0.166 0.084 0.696
0.709 0.835 0.835
0.000 0.000 0.000
```

Values from the calculation:
The value obtained for the size of the total moment is 1.1 μB/cell. For the calculated volume, the calculation gives 11.83 Å³/atom.



ii.
## VH2F8 (GGA+U)

Data for VH2F8 after structural relaxation.

Geometry as POSCAR:
```
VH2F8
1.0
-3.933 3.101 -0.271
-0.330 -4.707 -2.642
-0.014 0.820 9.584
F V H
8 1 2
direct
0.925 0.348 0.105
0.075 0.652 0.895
0.259 0.518 0.515
0.741 0.482 0.485
0.990 0.981 0.802
0.577 0.652 0.895
0.010 0.019 0.198
0.423 0.348 0.105
0.000 0.000 0.000
0.154 0.309 0.383
0.846 0.691 0.617
```

Values from the calculation:
The value obtained for the size of the total moment is 1.0 μB/cell. For the calculated volume, the calculation gives 16.27 Å³/atom.



ii has the most favorable energy; the next structure is 16 meV per atom above.



i.
## HWF2 (GGA+U)

Data for HWF2 after structural relaxation.

Geometry as POSCAR:
```
HWF2
1.0
-4.686 -0.396 0.526
0.166 -4.370 -1.807
-1.753 -3.789 2.806
F W H
4 2 2
direct
0.375 0.551 0.750
0.301 0.625 0.250
0.875 0.699 0.750
0.449 0.125 0.250
0.750 0.250 0.500
0.000 0.000 0.000
0.250 0.750 0.500
0.500 0.500 0.000
```

Values from the calculation:
The value obtained for the size of the total moment is 2.0 μB/cell. For the calculated volume, the calculation gives 10.51 Å³/atom.



ii.
## HWF2 (GGA+U)

Data for HWF2 after structural relaxation.

Geometry as POSCAR:
```
HWF2
1.0
1.588 0.000 6.093
-0.794 1.375 6.093
-0.794 -1.375 6.093
F W H
2 1 1
direct
0.886 0.886 0.886
0.114 0.114 0.114
0.000 0.000 0.000
0.500 0.500 0.500
```

Values from the calculation:
The value obtained for the size of the total moment is 0.0 μB/cell. For the calculated volume, the calculation gives 9.98 Å³/atom.



ii has the most favorable energy; the next structure is 323 meV per atom above.



i.
## HWF2 (GGA+U)

Data for HWF2 after structural relaxation.

Geometry as POSCAR:
```
HWF2
1.0
0.016 -1.065 3.737
-1.622 2.297 2.682
-3.311 -1.071 1.729
F W H
2 1 1
direct
0.250 0.250 0.250
0.750 0.750 0.750
0.500 0.500 0.500
0.000 0.000 0.000
```

Values from the calculation:
The value obtained for the size of the total moment is 3.0 μB/cell. For the calculated volume, the calculation gives 10.37 Å³/atom.



ii.
## HWF2 (GGA+U)

Data for HWF2 after structural relaxation.

Geometry as POSCAR:
```
HWF2
1.0
5.131 -4.403 0.129
6.089 -2.470 -1.598
6.321 -2.119 1.134
F H W
2 1 1
direct
0.058 0.058 0.058
0.942 0.942 0.942
0.000 0.000 0.000
0.500 0.500 0.500
```

Values from the calculation:
The value obtained for the size of the total moment is 0.0 μB/cell. For the calculated volume, the calculation gives 10.87 Å³/atom.



i has the most favorable energy; the next structure is 13 meV per atom above.



i.
## HWF3 (GGA+U)

Data for HWF3 after structural relaxation.

Geometry as POSCAR:
```
HWF3
1.0
-4.175 -0.184 0.690
0.714 -1.006 4.052
-0.012 4.110 1.023
F W H
3 1 1
direct
0.000 0.500 0.000
0.500 0.000 0.000
0.000 0.000 0.500
0.000 0.000 0.000
0.500 0.500 0.500
```

Values from the calculation:
The value obtained for the size of the total moment is 4.0 μB/cell. For the calculated volume, the calculation gives 15.20 Å³/atom.



ii.
## HWF3 (GGA+U)

Data for HWF3 after structural relaxation.

Geometry as POSCAR:
```
HWF3
1.0
3.648 0.000 0.000
0.000 3.648 0.000
0.000 0.000 3.648
F W H
3 1 1
direct
0.500 0.000 0.000
0.000 0.500 0.000
0.000 0.000 0.500
0.500 0.500 0.500
0.000 0.000 0.000
```

Values from the calculation:
The value obtained for the size of the total moment is 3.8 μB/cell. For the calculated volume, the calculation gives 9.71 Å³/atom.



i has the most favorable energy; the next structure is 1000 meV per atom above.